DFT (SCAN) results for a PBEsol-optimized structure of NiSb3Pt.

Unit cell a=4.799 b=4.799 c=4.799 alpha=90.00 beta=90.00 gamma=90.00
Atoms (fractional coordinates):
1 Sb 0.000 0.000 0.500
2 Sb 0.500 0.000 0.000
3 Ni 0.000 0.000 0.000
4 Sb 0.000 0.500 0.000
5 Pt 0.500 0.500 0.500

* space-group type: Pm-3m
* density of states at the Fermi level: 0.623 states/eV per atom
* calculated volume: 22.1 Å³/atom
* uncorrected energy: -195.56 eV per cell
* E above lowest polymorph: 0.0000 eV/atom
* raw formation energy: 50 kJ per mole of atoms

---

DFT (SCAN) results for a PBEsol-optimized structure of Ta2AlPt.

Unit cell a=3.810 b=3.810 c=5.157 alpha=111.68 beta=111.68 gamma=90.00
Atoms (fractional coordinates):
1 Al 0.500 0.500 0.000
2 Ta 0.750 0.250 0.500
3 Pt 0.000 0.000 0.000
4 Ta 0.250 0.750 0.500

* ΔH_f (0 K): -61.7 kJ/mol of atoms
* space-group type: I4/mmm
* density of states at the Fermi level: 0.734 states/eV per atom
* calculated volume: 16.0 Å³/atom
* uncorrected energy: -213.67 eV per cell

---

DFT (SCAN) results for a PBEsol-optimized structure of TaMoW2.

Unit cell a=2.759 b=4.469 c=5.256 alpha=90.00 beta=100.00 gamma=90.00
Atoms (fractional coordinates):
1 W 0.748 0.500 0.249
2 W 0.995 0.000 0.002
3 Ta 0.254 0.500 0.749
4 Mo 0.503 0.000 0.499

* ΔH_f (0 K): -9.1 kJ/mol of atoms
* space-group type: Pm
* density of states at the Fermi level: 0.316 states/eV per atom
* calculated volume: 16.0 Å³/atom
* uncorrected energy: -241.22 eV per cell
* E above lowest polymorph: 0.0309 eV/atom

---

DFT (SCAN) results for a PBEsol-optimized structure of ScNiOF2.

Unit cell a=3.988 b=3.988 c=4.057 alpha=90.00 beta=90.00 gamma=90.00
Site moments in Bohr magnetons follow the coordinates.
Atoms (fractional coordinates):
1 Ni 0.500 0.500 0.500  1.08
2 F 0.500 0.000 0.000  0.00
3 O 0.000 0.000 0.500  0.03
4 F 0.000 0.500 0.000  0.00
5 Sc 0.000 0.000 0.000  0.00

* space-group type: P4/mmm
* density of states at the Fermi level: 0.533 states/eV per atom
* calculated volume: 12.9 Å³/atom
* uncorrected energy: -55.73 eV per cell
* raw formation energy: -232 kJ per mole of atoms

---

DFT (SCAN) results for a PBEsol-optimized structure of RbLi3Ag.

Unit cell a=5.280 b=5.280 c=5.280 alpha=90.00 beta=90.00 gamma=90.00
Atoms (fractional coordinates):
1 Ag 0.000 0.000 0.000
2 Li 0.000 0.000 0.500
3 Rb 0.500 0.500 0.500
4 Li 0.000 0.500 0.000
5 Li 0.500 0.000 0.000

* ΔH_f (0 K): 4.7 kJ/mol of atoms
* space-group type: Pm-3m
* density of states at the Fermi level: 0.522 states/eV per atom
* calculated volume: 29.4 Å³/atom
* uncorrected energy: -59.03 eV per cell

---

DFT (SCAN) results for a PBEsol-optimized structure of Tl2CN2.

Unit cell a=5.304 b=6.609 c=9.597 alpha=97.29 beta=98.05 gamma=113.11
Atoms (fractional coordinates):
1 N 0.719 0.508 0.071
2 Tl 0.891 0.082 0.320
3 C 0.239 0.776 0.356
4 N 0.414 0.756 0.289
5 Tl 0.820 0.184 0.958
6 N 0.054 0.797 0.414
7 Tl 0.591 0.458 0.321
8 Tl 0.409 0.542 0.679
9 C 0.500 0.500 0.000
10 N 0.586 0.244 0.711
11 N 0.946 0.203 0.586
12 N 0.281 0.492 0.929
13 Tl 0.109 0.918 0.680
14 C 0.761 0.224 0.644
15 Tl 0.180 0.816 0.042

* space-group type: P-1
* density of states at the Fermi level: 0.000 states/eV per atom
* calculated volume: 20.0 Å³/atom
* uncorrected energy: -519.04 eV per cell
* raw formation energy: 7 kJ per mole of atoms